Density functional theory data (PBE with a Hubbard U) for a relaxed structure of NaDy2CrO5.

The total energy comes out at -7.330 eV per atom. The calculation puts the total moment at 3.00 μB/f.u.

The structure belongs to space group P4/mbm (No. 127); the cell edges are 6.496, 6.496 and 5.700 Å and the angles 90.00°, 90.00° and 90.00°. The asymmetric unit holds Na at (0.000, 0.000, 0.000), Dy at (0.178, 0.322, 0.500), Cr at (0.000, 0.500, 0.000), O at (0.000, 0.000, 0.500) and O at (0.139, 0.639, 0.246).